# 1
Compound: ScPIr
Source: the Alexandria database
Functional: GGA-PBEsol
Structure: optimized geometry

Output
Calculated formation energy (eV/atom): -1.25
Magnetic moment (μB per atom): 0.00

Unit cell a=3.880 b=6.301 c=6.301 alpha=120.00 beta=90.00 gamma=90.00
Fractional positions:
1 Ir 0.000 0.751 0.751
2 Ir 0.000 0.000 0.249
3 Ir 0.000 0.249 0.000
4 P 0.000 0.333 0.667
5 P 0.000 0.667 0.333
6 P 0.500 0.000 0.000
7 Sc 0.500 0.419 0.419
8 Sc 0.500 0.000 0.581
9 Sc 0.500 0.581 0.000

# 2
Compound: Sr2Mg
Source: the Alexandria database
Functional: GGA-PBEsol
Structure: optimized geometry

Output
Calculated formation energy (eV/atom): 0.00
Magnetic moment (μB per atom): 0.00

Unit cell a=6.113 b=6.113 c=7.530 alpha=90.00 beta=90.00 gamma=120.00
Fractional positions:
1 Sr 0.000 0.000 0.000
2 Sr 0.000 0.000 0.500
3 Sr 0.667 0.333 0.750
4 Sr 0.333 0.667 0.250
5 Mg 0.667 0.333 0.250
6 Mg 0.333 0.667 0.750

# 3
Compound: CaTiAsO5
Source: the Alexandria database
Functional: GGA-PBEsol
Structure: optimized geometry

Output
Uncorrected energy (eV per atom): -7.63
Magnetic moment (μB per atom): 0.00

Unit cell a=5.906 b=7.785 c=9.143 alpha=90.00 beta=92.92 gamma=90.00
Fractional positions:
1 Ca 0.494 0.066 0.942
2 Ca 0.008 0.414 0.380
3 Ca 0.506 0.566 0.058
4 Ca 0.992 0.914 0.620
5 Ti 0.192 0.005 0.266
6 Ti 0.288 0.507 0.726
7 Ti 0.808 0.505 0.734
8 Ti 0.712 0.007 0.274
9 As 0.068 0.319 0.023
10 As 0.468 0.147 0.573
11 As 0.932 0.819 0.977
12 As 0.532 0.647 0.427
13 O 0.943 0.162 0.238
14 O 0.536 0.344 0.650
15 O 0.057 0.662 0.762
16 O 0.464 0.844 0.350
17 O 0.148 0.480 0.150
18 O 0.369 0.014 0.702
19 O 0.852 0.980 0.850
20 O 0.631 0.514 0.298
21 O 0.817 0.423 0.930
22 O 0.712 0.085 0.494
23 O 0.183 0.923 0.070
24 O 0.288 0.585 0.506
25 O 0.305 0.368 0.900
26 O 0.246 0.165 0.446
27 O 0.695 0.868 0.100
28 O 0.754 0.665 0.554
29 O 0.472 0.131 0.201
30 O 0.011 0.369 0.649
31 O 0.528 0.631 0.799
32 O 0.989 0.869 0.351

# 4
Compound: GeTe2AuN
Source: the Alexandria database
Functional: GGA-PBEsol
Structure: optimized geometry

Output
Uncorrected energy (eV per atom): -4.19
Magnetic moment (μB per atom): 0.00

Unit cell a=3.438 b=5.547 c=5.547 alpha=90.00 beta=90.00 gamma=90.00
Fractional positions:
1 Ge 0.000 0.000 0.000
2 Te 0.000 0.000 0.500
3 Te 0.000 0.500 0.000
4 Au 0.500 0.500 0.500
5 N 0.500 0.000 0.000